BeGaTc: optimized geometry, PBE.

Output
space group = F-43m (216)
VASP energy = -16.80 eV/cell

a = 3.8225 Å, b = 3.8225 Å, c = 3.8225 Å
α = 60.00°, β = 60.00°, γ = 60.00°
Closest atoms and distances in Å follow each position.
Fractional positions:
Be 0.0000 0.0000 0.0000  4 Ga 2.34, 4 Tc 2.34
Ga 0.7500 0.7500 0.7500  4 Be 2.34
Tc 0.2500 0.2500 0.2500  4 Be 2.34



BeTlZnCo: optimized geometry, PBE.

Output
space group = F-43m (216)
VASP energy = -12.59 eV/cell

a = 4.3029 Å, b = 4.3029 Å, c = 4.3029 Å
α = 60.00°, β = 60.00°, γ = 60.00°
Closest atoms and distances in Å follow each position.
Fractional positions:
Be 0.0000 0.0000 0.0000  4 Tl 2.63, 4 Zn 2.63
Tl 0.2500 0.2500 0.2500  4 Co 2.63, 4 Be 2.63
Zn 0.7500 0.7500 0.7500  4 Co 2.63, 4 Be 2.63
Co 0.5000 0.5000 0.5000  4 Tl 2.63, 4 Zn 2.63



Mg2Ir: optimized geometry, PBE.

Output
space group = Cmcm (63)
VASP energy = -25.91 eV/cell

a = 7.1558 Å, b = 7.1558 Å, c = 4.4851 Å
α = 90.00°, β = 90.00°, γ = 154.77°
Closest atoms and distances in Å follow each position.
Fractional positions:
Mg 0.0584 0.9416 0.7500  4 Mg 2.77-2.91, 6 Ir 2.81-2.82
Mg 0.2660 0.7340 0.2500  4 Ir 2.70-2.84, 6 Mg 2.77-2.91
Mg 0.7340 0.2660 0.7500  4 Ir 2.70-2.84, 6 Mg 2.77-2.91
Mg 0.9416 0.0584 0.2500  4 Mg 2.77-2.91, 6 Ir 2.81-2.82
Ir 0.3913 0.6087 0.7500  10 Mg 2.70-2.84
Ir 0.6087 0.3913 0.2500  10 Mg 2.70-2.84



Zr2NbFe: optimized geometry, PBE.

Output
space group = F-43m (216)
VASP energy = -34.77 eV/cell
calculated formation energy = 0.1815 eV/atom

a = 4.6361 Å, b = 4.6361 Å, c = 4.6361 Å
α = 60.00°, β = 60.00°, γ = 60.00°
Closest atoms and distances in Å follow each position.
Fractional positions:
Zr 0.0000 0.0000 0.0000  4 Fe 2.84, 4 Zr 2.84
Zr 0.2500 0.2500 0.2500  4 Zr 2.84, 4 Nb 2.84
Nb 0.5000 0.5000 0.5000  4 Fe 2.84, 4 Zr 2.84
Fe 0.7500 0.7500 0.7500  4 Zr 2.84, 4 Nb 2.84



Sc2ZnFeC: optimized geometry, PBE.

Output
space group = P4/mmm (123)
VASP energy = -33.61 eV/cell

a = 4.5568 Å, b = 4.5568 Å, c = 3.6295 Å
α = 90.00°, β = 90.00°, γ = 90.00°
Closest atoms and distances in Å follow each position.
Fractional positions:
Sc 0.0000 0.5000 0.0000  2 C 2.28
Sc 0.5000 0.0000 0.0000  2 C 2.28
Zn 0.0000 0.0000 0.5000  8 Sc 2.91, 4 Fe 3.22
Fe 0.5000 0.5000 0.5000  2 C 1.81
C 0.5000 0.5000 0.0000  2 Fe 1.81



K2Ag2Te4Mo: optimized geometry, PBE.

Output
space group = C222 (21)
VASP energy = -34.71 eV/cell

a = 7.9563 Å, b = 7.9563 Å, c = 6.4797 Å
α = 90.00°, β = 90.00°, γ = 131.78°
Closest atoms and distances in Å follow each position.
Fractional positions:
K 0.0000 0.5000 0.2501  8 Te 3.69-3.93
K 0.5000 0.0000 0.7499  8 Te 3.69-3.93
Ag 0.0000 0.0000 0.0000  4 Te 2.82
Ag 0.5000 0.5000 0.5000  4 Te 2.83
Te 0.1157 0.3414 0.7297  1 Mo 2.67, 2 Ag 2.82-2.83
Te 0.3414 0.1157 0.2703  1 Mo 2.67, 2 Ag 2.82-2.83
Te 0.6586 0.8843 0.2703  1 Mo 2.67, 2 Ag 2.82-2.83
Te 0.8843 0.6586 0.7297  1 Mo 2.67, 2 Ag 2.82-2.83
Mo 0.0000 0.0000 0.5000  4 Te 2.67



NdCu2PdPt2: optimized geometry, PBE.

Output
space group = Cmmm (65)
VASP energy = -33.02 eV/cell
calculated formation energy = -0.5902 eV/atom

a = 5.4142 Å, b = 5.4142 Å, c = 4.0981 Å
α = 90.00°, β = 90.00°, γ = 119.88°
Closest atoms and distances in Å follow each position.
Fractional positions:
Nd 0.0000 0.0000 0.0000  6 Cu 3.12-3.13, 8 Pt 3.40, 4 Pd 3.40
Cu 0.3331 0.6669 0.0000  2 Pd 2.58, 4 Pt 2.58
Cu 0.6669 0.3331 0.0000  2 Pd 2.58, 4 Pt 2.58
Pd 0.5000 0.5000 0.5000  4 Cu 2.58, 4 Pt 2.71
Pt 0.0000 0.5000 0.5000  4 Cu 2.58, 2 Pd 2.71, 2 Pt 2.71
Pt 0.5000 0.0000 0.5000  4 Cu 2.58, 2 Pd 2.71, 2 Pt 2.71



Zn3InGaO6: optimized geometry, PBE.

Output
space group = Cm (8)
VASP energy = -225.88 eV/cell

a = 14.0387 Å, b = 14.0387 Å, c = 11.4411 Å
α = 93.99°, β = 93.99°, γ = 13.48°
Closest atoms and distances in Å follow each position.
Fractional positions:
Zn 0.0000 0.0000 0.0000  4 O 1.97-2.06
Zn 0.0002 0.0002 0.4954  4 O 1.97-2.03
Zn 0.0909 0.0909 0.3427  4 O 1.94-2.04
Zn 0.1867 0.1867 0.0283  4 O 1.94-2.10
Zn 0.1886 0.1886 0.5290  4 O 1.95-2.01
Zn 0.2785 0.2785 0.3752  4 O 1.99-2.02
Zn 0.2815 0.2815 0.8796  4 O 1.94-2.04
Zn 0.4993 0.4993 0.2453  4 O 1.98-1.99
Zn 0.4994 0.4994 0.7450  4 O 1.93-2.01
Zn 0.5943 0.5943 0.0975  4 O 1.98-2.04
Zn 0.7788 0.7788 0.1268  4 O 1.99-2.00
Zn 0.7819 0.7819 0.6244  4 O 1.95-2.05
In 0.3895 0.3895 0.0620  6 O 2.19-2.21
In 0.3898 0.3898 0.5607  6 O 2.19-2.21
In 0.8897 0.8897 0.3115  6 O 2.18-2.22
In 0.8909 0.8909 0.8118  6 O 2.17-2.20
Ga 0.0915 0.0915 0.8476  4 O 1.81-1.92
Ga 0.5946 0.5946 0.5958  4 O 1.88-1.95
Ga 0.6841 0.6841 0.2767  5 O 1.86-2.06
Ga 0.6894 0.6894 0.7750  4 O 1.86-1.90
O 0.0192 0.0192 0.3331  4 Zn 1.97-2.00
O 0.0227 0.0227 0.8325  1 Ga 1.91, 3 Zn 2.01-2.06
O 0.1015 0.1015 0.5206  2 Ga 1.88, 1 Zn 2.04
O 0.1054 0.1054 0.0049  1 Ga 1.81, 2 Zn 1.99
O 0.1741 0.1741 0.8455  2 Ga 1.90, 1 Zn 2.10
O 0.1815 0.1815 0.3583  2 Ga 1.90, 1 Zn 1.95
O 0.2596 0.2596 0.0369  4 Zn 1.94-2.03
O 0.2604 0.2604 0.5430  4 Zn 1.96-2.02
O 0.3502 0.3502 0.3887  1 Zn 1.99, 3 In 2.19-2.20
O 0.3512 0.3512 0.8861  1 Zn 1.94
O 0.4283 0.4283 0.2348  1 Zn 1.98, 3 In 2.18-2.19
O 0.4298 0.4298 0.7341  1 Zn 1.93
O 0.5210 0.5210 0.0835  4 Zn 1.97-2.04
O 0.5245 0.5245 0.5853  1 Ga 1.95, 3 Zn 2.00-2.03
O 0.6009 0.6009 0.7660  3 Ga 1.92-1.94
O 0.6100 0.6100 0.2686  3 Zn 1.94-1.98, 1 Ga 2.06
O 0.6707 0.6707 0.6158  1 Ga 1.86, 2 Zn 2.01
O 0.6776 0.6776 0.1140  1 Ga 1.86, 2 Zn 1.94
O 0.7562 0.7562 0.2891  3 Zn 2.00, 1 Ga 2.01
O 0.7572 0.7572 0.7885  1 Ga 1.88, 3 Zn 2.04-2.05
O 0.8503 0.8503 0.1380  1 Zn 1.99, 3 In 2.19-2.20
O 0.8519 0.8519 0.6401  1 Zn 1.95, 1 In 2.18
O 0.9291 0.9291 0.9840  1 Zn 1.97, 3 In 2.17-2.21
O 0.9296 0.9296 0.4864  1 Zn 1.97, 2 In 2.19